! Li3As GGA-PBEsol optimized geometry; values from VASP
&SYSTEM
  ibrav = 0, nat = 24, ntyp = 2
/
ATOMIC_SPECIES
Li 6.94 Li.upf
As 74.92 As.upf
ATOMIC_POSITIONS crystal
Li 0.000 0.000 0.000
Li 0.000 0.000 0.500
Li 0.016 0.350 0.412
Li 0.016 0.666 0.912
Li 0.333 0.667 0.226
Li 0.333 0.667 0.726
Li 0.334 0.350 0.912
Li 0.334 0.984 0.412
Li 0.350 0.016 0.088
Li 0.350 0.334 0.588
Li 0.650 0.666 0.412
Li 0.650 0.984 0.912
Li 0.666 0.016 0.588
Li 0.666 0.650 0.088
Li 0.667 0.333 0.274
Li 0.667 0.333 0.774
Li 0.984 0.334 0.088
Li 0.984 0.650 0.588
As 0.000 0.321 0.750
As 0.000 0.679 0.250
As 0.321 0.000 0.750
As 0.321 0.321 0.250
As 0.679 0.000 0.250
As 0.679 0.679 0.750
CELL_PARAMETERS angstrom
7.473 0.000 0.000
-3.736 6.472 0.000
0.000 0.000 7.488
! - Size of the total moment: 0.000 μB/f.u.
! - Space-group type: P-3c1
! - ΔE_f: -0.673 eV per atom